This record from Alexandria describes a relaxed Dy12Ho5Cd2 crystal. The functional is PBE.

It has space group C2/m (No. 12), with a = 15.520 Å, b = 9.173 Å, c = 8.222 Å, α = 90.00°, β = 91.22° and γ = 90.00°. The distinct sites, in fractional coordinates, are Dy at (0.055, 0.000, 0.323), Dy at (0.086, 0.500, 0.889), Dy at (0.125, 0.195, 0.664), Dy at (0.151, 0.315, 0.241), Ho at (0.000, 0.500, 0.500), Ho at (0.195, 0.000, 0.008), Ho at (0.235, 0.500, 0.581) and Cd at (0.000, 0.180, 0.000).

The theoretical density comes out at 8.51 g/cm³. Its spin magnetization is 0.00 μB/f.u. Its energy of formation is 0.0498 eV per atom. The density of states at the Fermi level comes out at 29.65 states/eV/f.u. The energy is -157.994 eV for the cell shown. As for the volume: 30.80 Å³ per atom.